No. 1
# TbTmSc2 (PBE-GGA, optimized geometry)
data_TbTmSc2
_chemical_formula_sum 'Tb3 Tm3 Sc6'
_space_group_name_H-M_alt 'R -3 m'
_space_group_IT_number 166
_space_group_name_Hall '-R 3 2"'
_cell_length_a 3.4096
_cell_length_b 3.4096
_cell_length_c 32.8093
_cell_angle_alpha 90.00
_cell_angle_beta 90.00
_cell_angle_gamma 120.00
loop_
_atom_site_label
_atom_site_fract_x
_atom_site_fract_y
_atom_site_fract_z
_atom_site_occupancy
Tb1 0.0000 0.0000 0.0000 1
Tm1 0.0000 0.0000 0.5000 1
Sc1 0.0000 0.0000 0.2495 1
# ΔE_f = 22 kJ/mol of formula units
# E = -5.38 eV/atom

No. 2
# Tb19Tm4Sc6 (PBE-GGA, optimized geometry)
data_Tb19Tm4Sc6
_chemical_formula_sum 'Tb38 Tm8 Sc12'
_space_group_name_H-M_alt 'I 2 3'
_space_group_IT_number 197
_space_group_name_Hall 'I 2 2 3'
_cell_length_a 12.261
_cell_length_b 12.261
_cell_length_c 12.261
_cell_angle_alpha 90.00
_cell_angle_beta 90.00
_cell_angle_gamma 90.00
loop_
_atom_site_label
_atom_site_fract_x
_atom_site_fract_y
_atom_site_fract_z
_atom_site_occupancy
Tb1 0.000 0.000 0.000 1
Tb2 0.000 0.000 0.265 1
Tb3 0.058 0.273 0.282 1
Tm1 0.179 0.179 0.821 1
Sc1 0.000 0.383 0.500 1
# ΔE_f = 1095 kJ/mol of formula units
# E = -4.57 eV/atom

No. 3
# Tb3TmSc6 (PBE-GGA, optimized geometry)
data_Tb3TmSc6
_chemical_formula_sum 'Tb12 Tm4 Sc24'
_space_group_name_H-M_alt 'C m c 21'
_space_group_IT_number 36
_space_group_name_Hall 'C 2c -2'
_cell_length_a 10.483
_cell_length_b 17.994
_cell_length_c 5.847
_cell_angle_alpha 90.00
_cell_angle_beta 90.00
_cell_angle_gamma 90.00
loop_
_atom_site_label
_atom_site_fract_x
_atom_site_fract_y
_atom_site_fract_z
_atom_site_occupancy
Tb1 0.000 0.103 0.000 1
Tb2 0.175 0.395 0.409 1
Tm1 0.000 0.287 0.102 1
Sc1 0.000 0.210 0.574 1
Sc2 0.000 0.450 0.880 1
Sc3 0.167 0.053 0.458 1
Sc4 0.241 0.285 0.802 1
# ΔE_f = 154 kJ/mol of formula units
# E = -5.48 eV/atom

no.,D(E_F) (states/eV per cell)
1,18.7
2,89.2
3,64.0